[1]
## RbZn3Ag (PBE)

Data for an optimized crystal structure of RbZn3Ag.

POSCAR file:
```
RbZn3Ag
1.0
-2.8101 -2.1187 -5.5058
5.8814 -1.4821 -2.4314
-0.4604 -6.0012 2.5443
Zn Rb Ag
3 1 1
direct
0.0000 0.5000 0.0000
0.0000 0.0000 0.5000
0.5000 0.0000 0.0000
0.0000 0.0000 0.0000
0.5000 0.5000 0.5000
```

Properties
The calculation puts the calculated density at 2.32 g/cm3. For the formation energy from the elements, the calculation gives 0.942 eV/atom. Its total energy is -2.930 eV per cell. For the total magnetic moment, the calculation gives 0.0 μB/f.u.



[2]
## RbSr2CaCu (PBE)

Data for an optimized crystal structure of RbSr2CaCu.

POSCAR file:
```
RbSr2CaCu
1.0
-4.7810 -1.4273 -3.7612
-2.7793 -3.0515 4.6910
-2.7697 5.0114 1.6190
Sr Ca Cu Rb
2 1 1 1
direct
0.0000 0.5000 0.0000
0.5000 0.0000 0.0000
0.0000 0.0000 0.5000
0.0000 0.0000 0.0000
0.5000 0.5000 0.5000
```

Properties
The calculation puts the calculated density at 2.60 g/cm3. For the formation energy from the elements, the calculation gives 0.056 eV/atom. Its total energy is -10.150 eV per cell. For the total magnetic moment, the calculation gives 0.0 μB/f.u.



[3]
## NaPmGaPd (PBE)

Data for an optimized crystal structure of NaPmGaPd.

POSCAR file:
```
NaPmGaPd
1.0
-1.5581 0.9633 4.6494
-4.3677 -1.8262 1.6002
-0.0825 -3.6485 3.4138
Na Ga Pd Pm
1 1 1 1
direct
0.5000 0.5000 0.5000
0.2500 0.2500 0.2500
0.7500 0.7500 0.7500
0.0000 0.0000 0.0000
```

Properties
The calculation puts the calculated density at 6.48 g/cm3. For the formation energy from the elements, the calculation gives -0.337 eV/atom. Its total energy is -15.639 eV per cell. For the total magnetic moment, the calculation gives 0.0 μB/f.u.



[4]
## Tl2BiAu2 (PBE)

Data for an optimized crystal structure of Tl2BiAu2.

POSCAR file:
```
Tl2BiAu2
1.0
3.8262 0.0000 0.0000
0.0000 3.8262 0.0000
1.9131 1.9131 9.7631
Tl Au Bi
2 2 1
direct
0.3831 0.3831 0.2338
0.6169 0.6169 0.7662
0.7500 0.2500 0.5000
0.2500 0.7500 0.5000
0.0000 0.0000 0.0000
```

Properties
The calculation puts the calculated density at 11.75 g/cm3. For the formation energy from the elements, the calculation gives 0.044 eV/atom. Its total energy is -14.951 eV per cell. For the total magnetic moment, the calculation gives 0.0 μB/f.u.



[5]
## Na3MnN (PBE)

Data for an optimized crystal structure of Na3MnN.

POSCAR file:
```
Na3MnN
1.0
-3.7082 -0.1104 -3.0571
2.2357 -3.3769 -2.5899
-2.0880 -3.4196 2.6563
Na Mn N
3 1 1
direct
0.0000 0.5000 0.0000
0.0000 0.0000 0.5000
0.5000 0.0000 0.0000
0.5000 0.5000 0.5000
0.0000 0.0000 0.0000
```

Properties
The calculation puts the calculated density at 2.06 g/cm3. Its raw formation energy is 0.724 eV per atom. Its total energy is -17.833 eV per cell. For the total magnetic moment, the calculation gives 5.0 μB/f.u.



[6]
## SrPuPO6 (PBE)

Data for an optimized crystal structure of SrPuPO6.

POSCAR file:
```
SrPuPO6
1.0
5.2621 0.0000 0.0000
2.6311 4.5571 0.0001
0.0001 -0.0002 5.2674
Sr Pu P O
1 1 1 6
direct
0.0000 0.0000 0.0000
0.6666 0.6667 0.5000
0.3333 0.3333 0.5000
0.0571 0.3458 0.3094
0.3457 0.0571 0.6906
0.5971 0.3458 0.6906
0.0570 0.5972 0.6906
0.3457 0.5972 0.3094
0.5971 0.0571 0.3094
```

Properties
The calculation puts the calculated density at 6.03 g/cm3. Its raw formation energy is -2.450 eV per atom. Its total energy is -73.225 eV per cell. For the total magnetic moment, the calculation gives 3.0 μB/f.u.



The highest calculated density belongs to which entry?
Tl2BiAu2